Density functional theory data (PBE) for a geometry-optimized Sn2BiMoI structure.

Results
Energy relative to the elements, uncorrected (eV/atom): 0.1244

Unit cell a=5.3586 b=5.3586 c=5.3505 alpha=90.00 beta=90.00 gamma=90.00
With the nearest neighbours (Å) after each atom.
Space group P4/mmm (No. 123)
Inequivalent atoms, fractional coordinates:
Sn: 0.0000 0.5000 0.0000 x2  2 Mo 2.68
Bi: 0.0000 0.0000 0.5000 x1  2 Mo 2.68
Mo: 0.0000 0.0000 0.0000 x1  2 Bi 2.68, 4 Sn 2.68
I: 0.5000 0.5000 0.5000 x1  8 Sn 3.79, 4 Bi 3.79